# 1
# Na3PtRh

Na3PtRh after structural relaxation (PBEsol, the Alexandria database).

Computed properties:
The crystal system is cubic. The value obtained for the density of states at the Fermi level is 7.4 states/eV per cell. The total magnetization is 0.01 μB/cell. As for the energy above the most stable polymorph in this dataset: 0.1195 eV/atom.

Cell: 4.9813 4.9813 4.9813 Å, 90.00 90.00 90.00°
Fractional positions:
Pt 0.5000 0.5000 0.5000
Rh 0.0000 0.0000 0.0000
Na 0.0000 0.5000 0.0000
Na 0.0000 0.0000 0.5000
Na 0.5000 0.0000 0.0000


# 2
# Na3PtRh

Na3PtRh after structural relaxation (PBEsol, the Alexandria database).

Computed properties:
The crystal system is cubic. The value obtained for the density of states at the Fermi level is 12.7 states/eV per cell. The total magnetization is 1.55 μB/cell. As for the energy above the most stable polymorph in this dataset: 0.0000 eV/atom.

Cell: 5.2317 5.2317 5.2317 Å, 90.00 90.00 90.00°
Last column: magnetic moment on the atom in μB.
Fractional positions:
Na 0.5000 0.0000 0.0000  0.00
Na 0.0000 0.0000 0.5000  0.00
Na 0.0000 0.5000 0.0000  0.00
Rh 0.5000 0.5000 0.5000  1.28
Pt 0.0000 0.0000 0.0000  0.08


# 3
# Na3RuPt

Na3RuPt after structural relaxation (PBEsol, the Alexandria database).

Computed properties:
The crystal system is cubic. The value obtained for the density of states at the Fermi level is 5.1 states/eV per cell. The value obtained for the total energy is -2.94 eV/atom. The total magnetization is 3.00 μB/cell.

Cell: 5.2723 5.2723 5.2723 Å, 90.00 90.00 90.00°
Last column: magnetic moment on the atom in μB.
Fractional positions:
Na 0.5000 0.0000 0.0000  -0.01
Na 0.0000 0.5000 0.0000  -0.01
Na 0.0000 0.0000 0.5000  -0.01
Pt 0.0000 0.0000 0.0000  0.12
Ru 0.5000 0.5000 0.5000  2.56


# 4
# NaRu3Pt

NaRu3Pt after structural relaxation (PBEsol, the Alexandria database).

Computed properties:
The crystal system is cubic. The value obtained for the density of states at the Fermi level is 10.0 states/eV per cell. The value obtained for the total energy is -5.88 eV/atom. The total magnetization is 4.01 μB/cell.

Cell: 4.7569 4.7569 4.7569 Å, 90.00 90.00 90.00°
Last column: magnetic moment on the atom in μB.
Fractional positions:
Na 0.5000 0.5000 0.5000  -0.01
Ru 0.0000 0.0000 0.5000  1.23
Ru 0.0000 0.5000 0.0000  1.23
Ru 0.5000 0.0000 0.0000  1.23
Pt 0.0000 0.0000 0.0000  0.24